Density functional theory data (PBE) for an optimized crystal structure of SrLiBe2.

Structure (POSCAR):
```
SrLiBe2
1.0
3.0561 0.0000 0.0000
0.0000 3.0561 0.0000
0.0000 0.0000 7.9302
Sr Li Be
1 1 2
direct
0.0000 0.0000 0.0000 Sr
0.5000 0.5000 0.6235 Li
0.0000 0.0000 0.4025 Be
0.5000 0.5000 0.2997 Be
```

Results
density of states at the Fermi level = 2.59 states/eV/f.u.
raw total energy = -2.263 eV per atom
V = 74 Å³ per cell
ΔE to the lowest computed polymorph = 208 meV per atom
energy relative to the elements = 2.0 eV/f.u.

=====

Density functional theory data (PBE) for an optimized crystal structure of Nd4GePb.

Structure (POSCAR):
```
Nd4GePb
1.0
4.5050 -7.0773 0.0000
4.5050 7.0773 0.0000
-2.3197 0.0000 5.7640
Nd Ge Pb
8 2 2
direct
0.0713 0.7095 0.9341 Nd
0.2129 0.3725 0.6514 Nd
0.2905 0.9287 0.5659 Nd
0.3725 0.2129 0.1514 Nd
0.6275 0.7871 0.8486 Nd
0.7095 0.0713 0.4341 Nd
0.7871 0.6275 0.3486 Nd
0.9287 0.2905 0.0659 Nd
0.0012 0.9988 0.2500 Ge
0.9988 0.0012 0.7500 Ge
0.3792 0.6208 0.2500 Pb
0.6208 0.3792 0.7500 Pb
```

Results
density of states at the Fermi level = 7.24 states/eV/f.u.
raw total energy = -5.051 eV per atom
V = 368 Å³ per cell
ΔE to the lowest computed polymorph = 14 meV per atom
energy relative to the elements = -2.9 eV/f.u.

=====

Density functional theory data (PBE) for an optimized crystal structure of SiAgCl.

Structure (POSCAR):
```
SiAgCl
1.0
6.5042 0.0000 0.0000
0.0000 6.5042 0.0000
0.0000 0.0000 6.5042
Si Ag Cl
4 4 4
direct
0.0000 0.0000 0.0000 Si
0.0000 0.5000 0.5000 Si
0.5000 0.0000 0.5000 Si
0.5000 0.5000 0.0000 Si
0.2500 0.2500 0.2500 Ag
0.2500 0.7500 0.7500 Ag
0.7500 0.2500 0.7500 Ag
0.7500 0.7500 0.2500 Ag
0.2500 0.2500 0.7500 Cl
0.2500 0.7500 0.2500 Cl
0.7500 0.2500 0.2500 Cl
0.7500 0.7500 0.7500 Cl
```

Results
density of states at the Fermi level = 0.89 states/eV/f.u.
raw total energy = -2.888 eV per atom
V = 275 Å³ per cell
raw formation energy = 0.486 eV/atom
ΔE to the lowest computed polymorph = 598 meV per atom

=====

Density functional theory data (PBE) for an optimized crystal structure of YEr5Sc4.

Structure (POSCAR):
```
YEr5Sc4
1.0
8.6838 0.0000 0.0000
0.0000 8.7057 0.0000
0.0000 0.0000 7.6595
Y Er Sc
2 10 8
direct
0.2500 0.2500 0.1213 Y
0.7500 0.7500 0.8787 Y
0.0581 0.0584 0.7998 Er
0.0581 0.4416 0.7998 Er
0.2500 0.7500 0.0009 Er
0.4419 0.0584 0.7998 Er
0.4419 0.4416 0.7998 Er
0.5581 0.5584 0.2002 Er
0.5581 0.9416 0.2002 Er
0.7500 0.2500 0.9991 Er
0.9419 0.5584 0.2002 Er
0.9419 0.9416 0.2002 Er
0.0244 0.7500 0.5881 Sc
0.2500 0.5167 0.4132 Sc
0.2500 0.9833 0.4132 Sc
0.4756 0.7500 0.5881 Sc
0.5244 0.2500 0.4119 Sc
0.7500 0.0167 0.5868 Sc
0.7500 0.4833 0.5868 Sc
0.9756 0.2500 0.4119 Sc
```

Results
density of states at the Fermi level = 11.46 states/eV/f.u.
raw total energy = -5.310 eV per atom
V = 579 Å³ per cell
ΔE to the lowest computed polymorph = 100 meV per atom
energy relative to the elements = 1.5 eV/f.u.

=====

Density functional theory data (PBE) for an optimized crystal structure of Ho3Tl4SnTe8.

Structure (POSCAR):
```
Ho3Tl4SnTe8
1.0
4.4722 2.5820 8.0261
-4.4722 2.5820 8.0261
0.0000 -5.1641 8.0261
Ho Tl Sn Te
3 4 1 8
direct
0.0000 0.5000 0.5000 Ho
0.5000 0.0000 0.5000 Ho
0.5000 0.5000 0.0000 Ho
0.0000 0.0000 0.5000 Tl
0.0000 0.5000 0.0000 Tl
0.5000 0.0000 0.0000 Tl
0.5000 0.5000 0.5000 Tl
0.0000 0.0000 0.0000 Sn
0.2399 0.2399 0.7333 Te
0.2399 0.7333 0.2399 Te
0.2619 0.2619 0.2619 Te
0.2667 0.7601 0.7601 Te
0.7333 0.2399 0.2399 Te
0.7381 0.7381 0.7381 Te
0.7601 0.2667 0.7601 Te
0.7601 0.7601 0.2667 Te
```

Results
density of states at the Fermi level = 5.61 states/eV/f.u.
raw total energy = -4.112 eV per atom
V = 556 Å³ per cell
raw formation energy = -0.841 eV/atom

=====

Density functional theory data (PBE) for an optimized crystal structure of PmGdSc2.

Structure (POSCAR):
```
PmGdSc2
1.0
3.8936 0.0000 0.0000
0.0000 3.8936 0.0000
0.0000 0.0000 7.5753
Pm Gd Sc
1 1 2
direct
0.0000 0.0000 0.0000 Pm
0.0000 0.0000 0.5000 Gd
0.5000 0.5000 0.2547 Sc
0.5000 0.5000 0.7453 Sc
```

Results
density of states at the Fermi level = 5.86 states/eV/f.u.
raw total energy = -7.803 eV per atom
V = 115 Å³ per cell
ΔE to the lowest computed polymorph = 21 meV per atom
energy relative to the elements = 0.3 eV/f.u.

=====

Density functional theory data (PBE) for an optimized crystal structure of MgOs2O6.

Structure (POSCAR):
```
MgOs2O6
1.0
8.6659 0.0000 0.0000
-4.3329 7.5049 0.0000
0.0000 0.0000 4.3943
Mg Os O
3 6 18
direct
0.0000 0.0000 0.0000 Mg
0.3333 0.6667 0.4967 Mg
0.6667 0.3333 0.5033 Mg
0.0000 0.3422 0.0000 Os
0.0000 0.6758 0.5000 Os
0.3242 0.3242 0.5000 Os
0.3422 0.0000 0.0000 Os
0.6578 0.6578 0.0000 Os
0.6758 0.0000 0.5000 Os
0.1014 0.5577 0.2512 O
0.1128 0.2323 0.2414 O
0.1195 0.8872 0.2414 O
0.2129 0.4344 0.7417 O
0.2215 0.7871 0.7417 O
0.2323 0.1128 0.7586 O
0.4344 0.2129 0.2583 O
0.4423 0.5437 0.2512 O
0.4563 0.8986 0.2512 O
0.5437 0.4423 0.7488 O
0.5577 0.1014 0.7488 O
0.5656 0.7785 0.7417 O
0.7677 0.8805 0.2414 O
0.7785 0.5656 0.2583 O
0.7871 0.2215 0.2583 O
0.8805 0.7677 0.7586 O
0.8872 0.1195 0.7586 O
0.8986 0.4563 0.7488 O
```

Results
density of states at the Fermi level = 4.39 states/eV/f.u.
raw total energy = -7.319 eV per atom
V = 286 Å³ per cell
raw formation energy = -1.341 eV/atom